# 1
## Ce2Cd3Cu (PBE)

Data for a relaxed Ce2Cd3Cu crystal.

Output
Formation enthalpy at 0 K ... -0.183 eV per atom
Uncorrected energy ... -3.3010 eV/atom

Cell: 3.277 4.981 8.649 Å, 90.00 90.00 90.00°
Site moments in Bohr magnetons follow the coordinates.
Atoms (fractional coordinates):
1 Ce 0.000 0.500 0.017  0.91
2 Ce 0.000 0.000 0.487  0.88
3 Cd 0.500 0.000 0.832  0.01
4 Cd 0.500 0.000 0.172  0.01
5 Cd 0.500 0.500 0.658  0.00
6 Cu 0.500 0.500 0.334  0.00

***

# 2
## CuIrW (PBE)

Data for a relaxed CuIrW crystal.

Output
E above lowest polymorph ... 0.314 eV/atom
Formation enthalpy at 0 K ... 0.250 eV per atom
Uncorrected energy ... -8.3864 eV/atom

Cell: 7.065 6.852 2.692 Å, 83.33 74.43 22.24°
Atoms (fractional coordinates):
1 Cu 0.000 0.000 0.000
2 Ir 0.333 0.333 0.667
3 W 0.667 0.667 0.333

***

# 3
## SmEr4Tm2 (PBE)

Data for a relaxed SmEr4Tm2 crystal.

Output
E above lowest polymorph ... 0.000 eV/atom
Formation enthalpy at 0 K ... 0.036 eV per atom
Uncorrected energy ... -4.5236 eV/atom

Cell: 3.493 9.321 8.414 Å, 121.48 78.02 112.00°
Atoms (fractional coordinates):
1 Sm 0.000 0.000 0.000
2 Er 0.411 0.706 0.590
3 Er 0.810 0.169 0.718
4 Er 0.589 0.294 0.410
5 Er 0.190 0.831 0.282
6 Tm 0.360 0.430 0.141
7 Tm 0.640 0.570 0.859

***

# 4
## PmSmHg4 (PBE)

Data for a relaxed PmSmHg4 crystal.

Output
E above lowest polymorph ... 0.101 eV/atom
Formation enthalpy at 0 K ... -0.260 eV per atom
Uncorrected energy ... -2.0392 eV/atom

Cell: 6.006 6.006 6.006 Å, 60.00 60.00 60.00°
Atoms (fractional coordinates):
1 Hg 0.625 0.625 0.125
2 Hg 0.625 0.125 0.625
3 Hg 0.625 0.625 0.625
4 Hg 0.125 0.625 0.625
5 Sm 0.000 0.000 0.000
6 Pm 0.250 0.250 0.250

***

# 5
## Nd2DyGa6 (PBE)

Data for a relaxed Nd2DyGa6 crystal.

Output
E above lowest polymorph ... 0.000 eV/atom
Formation enthalpy at 0 K ... -0.667 eV per atom
Uncorrected energy ... -4.2558 eV/atom

Cell: 4.248 7.369 7.369 Å, 120.00 90.00 90.00°
Atoms (fractional coordinates):
1 Nd 0.000 0.333 0.667
2 Nd 0.000 0.667 0.333
3 Dy 0.000 0.000 0.000
4 Ga 0.500 0.332 0.332
5 Ga 0.500 0.668 0.668
6 Ga 0.500 0.000 0.668
7 Ga 0.500 0.668 0.000
8 Ga 0.500 0.332 0.000
9 Ga 0.500 0.000 0.332

***

# 6
## Y7Mn (PBE)

Data for a relaxed Y7Mn crystal.

Output
Formation enthalpy at 0 K ... 0.167 eV per atom
Uncorrected energy ... -6.6350 eV/atom

Cell: 6.987 6.987 6.987 Å, 60.00 60.00 60.00°
Site moments in Bohr magnetons follow the coordinates.
Atoms (fractional coordinates):
1 Y 0.000 0.500 0.500  -0.06
2 Y 0.500 0.000 0.500  -0.06
3 Y 0.500 0.500 0.000  -0.06
4 Y 0.000 0.000 0.500  -0.06
5 Y 0.000 0.500 0.000  -0.06
6 Y 0.500 0.000 0.000  -0.06
7 Y 0.500 0.500 0.500  0.03
8 Mn 0.000 0.000 0.000  3.95

***

# 7
## VCrPBr (PBE)

Data for a relaxed VCrPBr crystal.

Output
E above lowest polymorph ... 0.124 eV/atom
Raw formation energy ... -189 meV per atom
Uncorrected energy ... -6.6453 eV/atom

Cell: 3.942 3.941 6.573 Å, 77.14 76.59 60.09°
Site moments in Bohr magnetons follow the coordinates.
Atoms (fractional coordinates):
1 V 0.858 0.614 0.624  -1.14
2 Cr 0.485 0.246 0.772  2.00
3 P 0.135 0.898 0.831  -0.05
4 Br 0.589 0.338 0.382  0.03

***

# 8
## Ba4PtBr (PBE)

Data for a relaxed Ba4PtBr crystal.

Output
E above lowest polymorph ... 0.000 eV/atom
Raw formation energy ... -828 meV per atom
Uncorrected energy ... -3.3953 eV/atom

Cell: 4.594 8.046 8.682 Å, 102.41 90.02 106.58°
Atoms (fractional coordinates):
1 Ba 0.872 0.745 0.661
2 Ba 0.128 0.255 0.339
3 Ba 0.386 0.771 0.107
4 Ba 0.614 0.229 0.893
5 Pt 0.000 0.000 0.000
6 Br 0.500 0.000 0.500

***

# 9
## Pu2Ga4Ni3Ru (PBE)

Data for a relaxed Pu2Ga4Ni3Ru crystal.

Output
Formation enthalpy at 0 K ... -0.366 eV per atom
Uncorrected energy ... -7.1056 eV/atom

Cell: 4.148 4.148 9.874 Å, 90.00 90.00 90.00°
Site moments in Bohr magnetons follow the coordinates.
Atoms (fractional coordinates):
1 Pu 0.500 0.000 0.257  5.17
2 Pu 0.000 0.500 0.743  5.17
3 Ga 0.500 0.500 0.000  0.00
4 Ga 0.000 0.000 0.000  0.01
5 Ga 0.500 0.000 0.634  0.01
6 Ga 0.000 0.500 0.366  0.01
7 Ni 0.000 0.000 0.500  -0.03
8 Ni 0.500 0.000 0.872  -0.01
9 Ni 0.000 0.500 0.128  -0.01
10 Ru 0.500 0.500 0.500  -0.26

***

# 10
## MgIn2Ga4 (PBE)

Data for a relaxed MgIn2Ga4 crystal.

Output
E above lowest polymorph ... 0.044 eV/atom
Formation enthalpy at 0 K ... 0.039 eV per atom
Uncorrected energy ... -2.7011 eV/atom

Cell: 2.997 5.282 10.106 Å, 105.15 90.00 90.00°
Atoms (fractional coordinates):
1 Mg 0.000 0.500 0.000
2 In 0.500 0.210 0.420
3 In 0.500 0.790 0.580
4 Ga 0.500 0.628 0.256
5 Ga 0.000 0.926 0.852
6 Ga 0.500 0.372 0.744
7 Ga 0.000 0.074 0.148

***

# 11
## NdEr4Th (PBE)

Data for a relaxed NdEr4Th crystal.

Output
E above lowest polymorph ... 0.132 eV/atom
Formation enthalpy at 0 K ... 0.155 eV per atom
Uncorrected energy ... -4.9185 eV/atom

Cell: 6.581 9.049 8.484 Å, 112.24 100.07 113.53°
Atoms (fractional coordinates):
1 Nd 0.336 0.586 0.173
2 Nd 0.664 0.414 0.827
3 Er 0.041 0.164 0.736
4 Er 0.747 0.715 0.615
5 Er 0.196 0.573 0.736
6 Er 0.368 0.900 0.615
7 Er 0.632 0.100 0.385
8 Er 0.804 0.427 0.264
9 Er 0.253 0.285 0.385
10 Er 0.959 0.836 0.264
11 Th 0.249 0.999 0.997
12 Th 0.751 0.001 0.003

***

# 12
## RbMnI3 (PBE)

Data for a relaxed RbMnI3 crystal.

Output
Raw formation energy ... -867 meV per atom
Uncorrected energy ... -3.8248 eV/atom

Cell: 8.695 6.211 9.394 Å, 93.73 75.56 95.45°
Site moments in Bohr magnetons follow the coordinates.
Atoms (fractional coordinates):
1 I 0.872 0.268 0.828  0.05
2 I 0.415 0.260 0.179  0.05
3 I 0.861 0.205 0.345  0.07
4 I 0.129 0.805 0.512  0.07
5 I 0.118 0.743 0.028  0.05
6 I 0.575 0.750 0.678  0.05
7 Mn 0.143 0.009 0.257  4.29
8 Mn 0.847 0.000 0.600  4.29
9 Rb 0.680 0.791 0.059  0.00
10 Rb 0.309 0.220 0.797  0.00

***

Which of these has the lowest uncorrected energy?
CuIrW

***

Which value of uncorrected energy does entry 4 give?
-2.0392 eV/atom

***

Please write out number 2 again, unchanged.
## CuIrW (PBE)

Data for a relaxed CuIrW crystal.

Output
E above lowest polymorph ... 0.314 eV/atom
Formation enthalpy at 0 K ... 0.250 eV per atom
Uncorrected energy ... -8.3864 eV/atom

Cell: 7.065 6.852 2.692 Å, 83.33 74.43 22.24°
Atoms (fractional coordinates):
1 Cu 0.000 0.000 0.000
2 Ir 0.333 0.333 0.667
3 W 0.667 0.667 0.333

***

Among the records above, which one has the highest uncorrected energy?
PmSmHg4